[1]
Density functional theory data (PBE) for a relaxed structure of ZnAgW2.

abc: 2.6923 4.1751 5.7659
angles: 90.00 90.00 90.00
Space group Pmm2 (No. 25)
Unique sites:
Zn 0.0000 0.0000 0.0000
Ag 0.5000 0.5000 0.2293
W 0.0000 0.0000 0.5138
W 0.5000 0.5000 0.7382

Properties
Density of states at the Fermi level (states/eV per atom): 0.74
Formation energy (eV per atom): 0.438
Total moment (μB per formula unit): 0.000
E (eV per cell): -28.28

---

[2]
Density functional theory data (PBE) for a relaxed structure of Tm2Zn5Pt4.

abc: 5.2569 9.0029 16.8247
angles: 90.00 90.00 90.00
Space group Fmmm (No. 69)
Unique sites:
Tm 0.0000 0.0000 0.1421
Zn 0.0000 0.0000 0.5000
Zn 0.2500 0.2500 0.0000
Zn 0.2500 0.2500 0.2500
Pt 0.0000 0.1611 0.3724

Properties
Density of states at the Fermi level (states/eV per atom): 0.42
Formation energy (eV per atom): -0.714
Total moment (μB per formula unit): 0.000
E (eV per cell): -189.31

---

[3]
Density functional theory data (PBE) for a relaxed structure of CsAu2.

abc: 13.0109 4.8208 7.0683
angles: 90.00 116.34 90.00
Space group C2/m (No. 12)
Unique sites:
Cs 0.1103 0.0000 0.3019
Au 0.0998 0.5000 0.6899
Au 0.2071 0.0000 0.8921

Properties
Density of states at the Fermi level (states/eV per atom): 0.32
Formation energy (eV per atom): -0.252
Total moment (μB per formula unit): 0.000
E (eV per cell): -32.66

---

[4]
Density functional theory data (PBE) for a relaxed structure of NbCdAg2O4.

abc: 7.0661 7.4320 10.5385
angles: 90.00 90.00 90.00
Space group Fmm2 (No. 42)
Unique sites:
Nb 0.0000 0.0000 0.0000
Cd 0.0000 0.0000 0.5222
Ag 0.2500 0.2500 0.2563
O 0.0000 0.2096 0.1013
O 0.2252 0.0000 0.9016

Properties
Density of states at the Fermi level (states/eV per atom): 0.17
Total moment (μB per formula unit): 0.000
E (eV per cell): -183.97
Formation energy without anion corrections (eV per atom): -1.184

---

[5]
Density functional theory data (PBE) for a relaxed structure of DyHo8Cd6.

abc: 8.9311 8.9311 19.0475
angles: 90.00 90.00 120.00
Space group R-3 (No. 148, hexagonal axes)
Unique sites:
Dy 0.0000 0.0000 0.0000
Ho 0.0000 0.0000 0.3335
Ho 0.0000 0.3333 0.2172
Cd 0.9995 0.3328 0.7188

Properties
Density of states at the Fermi level (states/eV per atom): 1.22
Formation energy (eV per atom): -0.063
Total moment (μB per formula unit): 0.021
E (eV per cell): -143.00

---

[6]
Density functional theory data (PBE) for a relaxed structure of Ho3Hg5S12.

abc: 15.6846 15.6846 15.6846
angles: 90.00 90.00 90.00
Space group Ia-3d (No. 230)
Unique sites:
Ho 0.0000 0.2500 0.1250
Hg 0.0000 0.0000 0.0000
Hg 0.0000 0.2500 0.3750
S 0.0144 0.0714 0.6567

Properties
Density of states at the Fermi level (states/eV per atom): 0.43
Total moment (μB per formula unit): 0.000
E (eV per cell): -609.75
Formation energy without anion corrections (eV per atom): -0.572

---

[7]
Density functional theory data (PBE) for a relaxed structure of Ag3GeO4.

abc: 6.9974 6.0846 5.6910
angles: 90.00 90.00 90.00
Space group Pmn2_1 (No. 31)
Unique sites:
Ag 0.0000 0.2252 0.0000
Ag 0.2248 0.6328 0.0019
Ge 0.0000 0.8778 0.4511
O 0.0000 0.1536 0.5503
O 0.0000 0.8727 0.1338
O 0.1987 0.7239 0.5599

Properties
Density of states at the Fermi level (states/eV per atom): 0.61
Total moment (μB per formula unit): 0.000
E (eV per cell): -75.65
Formation energy without anion corrections (eV per atom): -0.603

---

[8]
Density functional theory data (PBE) for a relaxed structure of Nd2TlC.

abc: 3.6785 3.6785 28.6324
angles: 90.00 90.00 120.00
Space group R-3m (No. 166, hexagonal axes)
Unique sites:
Nd 0.0000 0.0000 0.1177
Tl 0.0000 0.0000 0.0000
C 0.0000 0.0000 0.5000

Properties
Density of states at the Fermi level (states/eV per atom): 0.61
Formation energy (eV per atom): -0.089
Total moment (μB per formula unit): 0.000
E (eV per cell): -64.45

---

[9]
Density functional theory data (PBE) for a relaxed structure of Sr2FeW.

abc: 7.6075 7.6075 7.6075
angles: 90.00 90.00 90.00
Space group Fm-3m (No. 225)
Unique sites:
Sr 0.2500 0.2500 0.2500
Fe 0.0000 0.0000 0.0000
W 0.0000 0.0000 0.5000

Properties
Density of states at the Fermi level (states/eV per atom): 2.04
Formation energy (eV per atom): 1.422
Total moment (μB per formula unit): 6.004
Energy above the lowest structure with this stoichiometry (kcal/mol of atoms): 21.16
E (eV per cell): -76.36

---

Which formula does entry 5 have?
DyHo8Cd6

---

Look up the E of the sixth one.
-609.75 eV per cell

---

Copy entry 6 word for word.
Density functional theory data (PBE) for a relaxed structure of Ho3Hg5S12.

abc: 15.6846 15.6846 15.6846
angles: 90.00 90.00 90.00
Space group Ia-3d (No. 230)
Unique sites:
Ho 0.0000 0.2500 0.1250
Hg 0.0000 0.0000 0.0000
Hg 0.0000 0.2500 0.3750
S 0.0144 0.0714 0.6567

Properties
Density of states at the Fermi level (states/eV per atom): 0.43
Total moment (μB per formula unit): 0.000
E (eV per cell): -609.75
Formation energy without anion corrections (eV per atom): -0.572

---

What is the formula in the ninth record?
Sr2FeW